Crystalline BeCdCoF6 at its relaxed geometry, computed with GGA+U.

Structure (POSCAR):
```
BeCdCoF6
1.0
5.055 0.000 0.000
-2.528 4.378 0.000
0.000 0.000 9.507
Be Cd Co F
2 2 2 12
direct
0.667 0.333 0.250 Be
0.333 0.667 0.750 Be
0.000 0.000 0.000 Cd
0.000 0.000 0.500 Cd
0.333 0.667 0.250 Co
0.667 0.333 0.750 Co
0.656 0.618 0.143 F
0.962 0.344 0.143 F
0.344 0.962 0.643 F
0.038 0.656 0.857 F
0.382 0.344 0.357 F
0.962 0.618 0.357 F
0.618 0.962 0.857 F
0.656 0.038 0.357 F
0.038 0.382 0.643 F
0.382 0.038 0.143 F
0.618 0.656 0.643 F
0.344 0.382 0.857 F
```

## Properties
* magnetic moment: 0.33 μB/atom
* final energy: -4.661 eV per atom
* volume: 11.69 Å³ per atom
* D(E_F): 13.41 states/eV/cell
* space group: P-31c (163)